Run 1
Entry from the Alexandria database: an optimized crystal structure of TbNd2Zr (GGA-PBE).

Its total magnetic moment is 0.00 μB/f.u. Its symmetry is P4/mmm.

abc: 4.981 4.981 4.920
angles: 90.00 90.00 90.00
Fractional coordinates of all 4 atoms:
Tb 0.000 0.000 0.000
Nd 0.000 0.500 0.500
Nd 0.500 0.000 0.500
Zr 0.500 0.500 0.000



Run 2
Entry from the Alexandria database: an optimized crystal structure of TbNd2Zr (GGA-PBE).

Its total magnetic moment is 0.00 μB/f.u. Its symmetry is R-3m.

abc: 3.424 3.424 36.565
angles: 90.00 90.00 120.00
Fractional coordinates of all 12 atoms:
Tb 0.000 0.000 0.000
Tb 0.333 0.667 0.667
Tb 0.667 0.333 0.333
Nd 0.000 0.000 0.415
Nd 0.000 0.000 0.585
Nd 0.333 0.667 0.081
Nd 0.333 0.667 0.252
Nd 0.667 0.333 0.748
Nd 0.667 0.333 0.919
Zr 0.000 0.000 0.500
Zr 0.333 0.667 0.167
Zr 0.667 0.333 0.833



Most stable to least stable, the ends of the list are run 1 and run 2.



Run 1
Entry from the Alexandria database: an optimized crystal structure of NdTc (GGA-PBE).

Its total magnetic moment is 0.00 μB/f.u. Its symmetry is P2_1/m.

abc: 4.669 4.061 5.892
angles: 90.00 113.39 90.00
Fractional coordinates of all 4 atoms:
Nd 0.146 0.250 0.292
Nd 0.854 0.750 0.708
Tc 0.442 0.250 0.887
Tc 0.558 0.750 0.113



Run 2
Entry from the Alexandria database: an optimized crystal structure of NdTc (GGA-PBE).

Its total magnetic moment is 0.00 μB/f.u. Its symmetry is R-3m.

abc: 4.193 4.193 20.846
angles: 90.00 90.00 120.00
Fractional coordinates of all 12 atoms:
Nd 0.000 0.000 0.097
Nd 0.000 0.000 0.903
Nd 0.333 0.667 0.569
Nd 0.333 0.667 0.764
Nd 0.667 0.333 0.236
Nd 0.667 0.333 0.431
Tc 0.000 0.000 0.320
Tc 0.000 0.000 0.680
Tc 0.333 0.667 0.347
Tc 0.333 0.667 0.987
Tc 0.667 0.333 0.013
Tc 0.667 0.333 0.653



Most stable to least stable, the ends of the list are run 2 and run 1.



Run 1
Entry from the Alexandria database: an optimized crystal structure of NdTc2 (GGA-PBE).

Its total magnetic moment is 0.00 μB/f.u. Its symmetry is I4/mmm.

abc: 3.154 3.154 11.974
angles: 90.00 90.00 90.00
Fractional coordinates of all 6 atoms:
Nd 0.000 0.000 0.000
Nd 0.500 0.500 0.500
Tc 0.000 0.000 0.302
Tc 0.000 0.000 0.698
Tc 0.500 0.500 0.198
Tc 0.500 0.500 0.802



Run 2
Entry from the Alexandria database: an optimized crystal structure of NdTc2 (GGA-PBE).

Its total magnetic moment is 0.00 μB/f.u. Its symmetry is P6_3/mmc.

abc: 5.505 5.505 8.881
angles: 90.00 90.00 120.00
Fractional coordinates of all 12 atoms:
Nd 0.333 0.667 0.063
Nd 0.333 0.667 0.437
Nd 0.667 0.333 0.563
Nd 0.667 0.333 0.937
Tc 0.000 0.000 0.000
Tc 0.000 0.000 0.500
Tc 0.170 0.341 0.750
Tc 0.170 0.830 0.750
Tc 0.341 0.170 0.250
Tc 0.659 0.830 0.750
Tc 0.830 0.170 0.250
Tc 0.830 0.659 0.250



Run 3
Entry from the Alexandria database: an optimized crystal structure of NdTc2 (GGA-PBE).

Its total magnetic moment is 0.03 μB/f.u. Its symmetry is Fd-3m.

abc: 5.493 5.493 5.493
angles: 60.00 60.00 60.00
Fractional coordinates of all 6 atoms:
Nd 0.125 0.125 0.125
Nd 0.875 0.875 0.875
Tc 0.000 0.500 0.500
Tc 0.500 0.000 0.500
Tc 0.500 0.500 0.000
Tc 0.500 0.500 0.500



Most stable to least stable, the ends of the list are run 2 and run 1.



Run 1
Entry from the Alexandria database: an optimized crystal structure of Nd3TlTc (GGA-PBE).

Its total magnetic moment is 0.00 μB/f.u. Its symmetry is Pm-3m.

abc: 5.423 5.423 5.423
angles: 90.00 90.00 90.00
Fractional coordinates of all 5 atoms:
Nd 0.000 0.000 0.500
Nd 0.000 0.500 0.000
Nd 0.500 0.000 0.000
Tl 0.500 0.500 0.500
Tc 0.000 0.000 0.000



Run 2
Entry from the Alexandria database: an optimized crystal structure of Nd3TlTc (GGA-PBE).

Its total magnetic moment is 0.00 μB/f.u. Its symmetry is P2_1/m.

abc: 8.952 4.106 9.029
angles: 90.00 116.86 90.00
Fractional coordinates of all 10 atoms:
Nd 0.038 0.250 0.209
Nd 0.336 0.250 0.900
Nd 0.347 0.750 0.572
Nd 0.653 0.250 0.428
Nd 0.664 0.750 0.100
Nd 0.962 0.750 0.791
Tl 0.322 0.750 0.188
Tl 0.678 0.250 0.812
Tc 0.062 0.250 0.567
Tc 0.938 0.750 0.433



Most stable to least stable, the ends of the list are run 2 and run 1.



Run 1
Entry from the Alexandria database: an optimized crystal structure of NdTmTc (GGA-PBE).

Its total magnetic moment is 0.00 μB/f.u. Its symmetry is Immm.

abc: 3.353 6.106 15.513
angles: 90.00 90.00 90.00
Fractional coordinates of all 12 atoms:
Nd 0.000 0.000 0.115
Nd 0.000 0.000 0.885
Nd 0.500 0.500 0.385
Nd 0.500 0.500 0.615
Tm 0.000 0.000 0.331
Tm 0.000 0.000 0.669
Tm 0.500 0.500 0.169
Tm 0.500 0.500 0.831
Tc 0.000 0.192 0.500
Tc 0.000 0.808 0.500
Tc 0.500 0.308 0.000
Tc 0.500 0.692 0.000



Run 2
Entry from the Alexandria database: an optimized crystal structure of NdTmTc (GGA-PBE).

Its total magnetic moment is 0.00 μB/f.u. Its symmetry is I4mm.

abc: 3.492 3.492 12.652
angles: 90.00 90.00 90.00
Fractional coordinates of all 6 atoms:
Nd 0.000 0.000 0.000
Nd 0.500 0.500 0.500
Tm 0.000 0.000 0.260
Tm 0.500 0.500 0.760
Tc 0.000 0.000 0.637
Tc 0.500 0.500 0.137



Most stable to least stable, the ends of the list are run 2 and run 1.



Run 1
Entry from the Alexandria database: an optimized crystal structure of NdTm2Tc (GGA-PBE).

Its total magnetic moment is 0.00 μB/f.u. Its symmetry is R-3m.

abc: 4.808 4.808 15.328
angles: 90.00 90.00 120.00
Fractional coordinates of all 12 atoms:
Nd 0.000 0.000 0.000
Nd 0.333 0.667 0.667
Nd 0.667 0.333 0.333
Tm 0.000 0.000 0.225
Tm 0.000 0.000 0.775
Tm 0.333 0.667 0.441
Tm 0.333 0.667 0.892
Tm 0.667 0.333 0.108
Tm 0.667 0.333 0.559
Tc 0.000 0.000 0.500
Tc 0.333 0.667 0.167
Tc 0.667 0.333 0.833



Run 2
Entry from the Alexandria database: an optimized crystal structure of NdTm2Tc (GGA-PBE).

Its total magnetic moment is 0.00 μB/f.u. Its symmetry is Pnma.

abc: 7.517 9.042 6.302
angles: 90.00 90.00 90.00
Fractional coordinates of all 16 atoms:
Nd 0.041 0.250 0.123
Nd 0.459 0.750 0.623
Nd 0.541 0.250 0.377
Nd 0.959 0.750 0.877
Tm 0.175 0.064 0.655
Tm 0.175 0.436 0.655
Tm 0.325 0.564 0.155
Tm 0.325 0.936 0.155
Tm 0.675 0.064 0.845
Tm 0.675 0.436 0.845
Tm 0.825 0.564 0.345
Tm 0.825 0.936 0.345
Tc 0.118 0.750 0.451
Tc 0.382 0.250 0.951
Tc 0.618 0.750 0.049
Tc 0.882 0.250 0.549



Run 3
Entry from the Alexandria database: an optimized crystal structure of NdTm2Tc (GGA-PBE).

Its total magnetic moment is 0.00 μB/f.u. Its symmetry is P4/mmm.

abc: 3.424 3.424 9.060
angles: 90.00 90.00 90.00
Fractional coordinates of all 4 atoms:
Nd 0.000 0.000 0.000
Tm 0.500 0.500 0.320
Tm 0.500 0.500 0.680
Tc 0.000 0.000 0.500



Most stable to least stable, the ends of the list are run 2 and run 1.



Run 1
Entry from the Alexandria database: an optimized crystal structure of NdUTc (GGA-PBE).

Its total magnetic moment is 0.20 μB/f.u. Its symmetry is I4mm.

abc: 3.484 3.484 11.428
angles: 90.00 90.00 90.00
Fractional coordinates of all 6 atoms:
Nd 0.000 0.000 0.000
Nd 0.500 0.500 0.500
U 0.000 0.000 0.700
U 0.500 0.500 0.200
Tc 0.000 0.000 0.293
Tc 0.500 0.500 0.793



Run 2
Entry from the Alexandria database: an optimized crystal structure of NdUTc (GGA-PBE).

Its total magnetic moment is 1.30 μB/f.u. Its symmetry is P-6m2.

abc: 4.308 4.308 4.891
angles: 90.00 90.00 120.00
Fractional coordinates of all 3 atoms:
Nd 0.000 0.000 0.000
U 0.333 0.667 0.500
Tc 0.667 0.333 0.500



Most stable to least stable, the ends of the list are run 1 and run 2.



Run 1
Entry from the Alexandria database: an optimized crystal structure of NdY2Tc (GGA-PBE).

Its total magnetic moment is 0.00 μB/f.u. Its symmetry is R-3m.

abc: 3.458 3.458 33.222
angles: 90.00 90.00 120.00
Fractional coordinates of all 12 atoms:
Nd 0.000 0.000 0.000
Nd 0.333 0.667 0.667
Nd 0.667 0.333 0.333
Y 0.000 0.000 0.106
Y 0.000 0.000 0.894
Y 0.333 0.667 0.561
Y 0.333 0.667 0.773
Y 0.667 0.333 0.227
Y 0.667 0.333 0.439
Tc 0.000 0.000 0.500
Tc 0.333 0.667 0.167
Tc 0.667 0.333 0.833



Run 2
Entry from the Alexandria database: an optimized crystal structure of NdY2Tc (GGA-PBE).

Its total magnetic moment is 0.00 μB/f.u. Its symmetry is Pnma.

abc: 7.494 9.278 6.417
angles: 90.00 90.00 90.00
Fractional coordinates of all 16 atoms:
Nd 0.045 0.250 0.128
Nd 0.455 0.750 0.628
Nd 0.545 0.250 0.372
Nd 0.955 0.750 0.872
Y 0.175 0.065 0.661
Y 0.175 0.435 0.661
Y 0.325 0.565 0.161
Y 0.325 0.935 0.161
Y 0.675 0.065 0.839
Y 0.675 0.435 0.839
Y 0.825 0.565 0.339
Y 0.825 0.935 0.339
Tc 0.116 0.750 0.464
Tc 0.384 0.250 0.964
Tc 0.616 0.750 0.036
Tc 0.884 0.250 0.536



Most stable to least stable, the ends of the list are run 2 and run 1.